Record 1
Density functional theory data (PBE) for a relaxed structure of GdTlAgRh.

Results
Energy of formation from the pure elements = -0.279 eV/atom

Cell lengths 4.902, 4.902, 4.902 Å; angles 60.00, 60.00, 60.00 degrees
Sites, in units of the cell vectors:
Gd1 0.000 0.000 0.000
Tl1 0.500 0.500 0.500
Ag1 0.750 0.750 0.750
Rh1 0.250 0.250 0.250


Record 2
Density functional theory data (PBE) for a relaxed structure of Sr2LiRuAu.

Results
Energy of formation from the pure elements = 0.273 eV/atom

Cell lengths 5.703, 5.703, 5.133 Å; angles 90.00, 90.00, 90.00 degrees
Sites, in units of the cell vectors:
Sr1 0.000 0.500 0.000
Sr2 0.500 0.000 0.000
Li1 0.000 0.000 0.500
Ru1 0.500 0.500 0.000
Au1 0.500 0.500 0.500


Record 3
Density functional theory data (PBE) for a relaxed structure of Ce2YSc.

Results
Polymorph energy (0 for the lowest one) = 0.00 eV per formula unit
Energy of formation from the pure elements = 0.097 eV/atom

Cell lengths 11.369, 11.369, 11.369 Å; angles 17.32, 17.32, 17.32 degrees
Sites, in units of the cell vectors:
Ce1 0.247 0.247 0.247
Ce2 0.753 0.753 0.753
Y1 0.000 0.000 0.000
Sc1 0.500 0.500 0.500


Record 4
Density functional theory data (PBE) for a relaxed structure of YC.

Results
Polymorph energy (0 for the lowest one) = 0.57 eV per formula unit
Energy of formation from the pure elements = 0.072 eV/atom

Cell lengths 6.949, 6.949, 6.949 Å; angles 155.63, 151.61, 37.75 degrees
Sites, in units of the cell vectors:
Y1 0.383 0.133 0.250
Y2 0.617 0.867 0.750
C1 0.029 0.279 0.750
C2 0.971 0.721 0.250


Record 5
Density functional theory data (PBE) for a relaxed structure of CrRe2Cl.

Results
Polymorph energy (0 for the lowest one) = 3.00 eV per formula unit
ΔE_f (raw) = 97.9 kJ/mol of atoms

Cell lengths 4.419, 4.419, 2.867 Å; angles 90.00, 90.00, 90.00 degrees
Sites, in units of the cell vectors:
Cr1 0.000 0.000 0.000
Re1 0.000 0.500 0.500
Re2 0.500 0.000 0.500
Cl1 0.500 0.500 0.000


Record 6
Density functional theory data (PBE) for a relaxed structure of InOs2Pb.

Results
Polymorph energy (0 for the lowest one) = 3.38 eV per formula unit
Energy of formation from the pure elements = 1.341 eV/atom

Cell lengths 6.071, 6.071, 6.071 Å; angles 101.77, 101.77, 126.30 degrees
Sites, in units of the cell vectors:
In1 0.000 0.000 0.000
In2 0.750 0.250 0.500
Os1 0.123 0.125 0.498
Os2 0.375 0.877 0.002
Os3 0.627 0.625 0.502
Os4 0.875 0.373 0.998
Pb1 0.250 0.750 0.500
Pb2 0.500 0.500 0.000